[1]
The following is a DFT calculation (PBE-GGA) of a geometry-optimized GdTlSb2 structure.

abc: 4.169 4.169 6.680
angles: 90.00 90.00 90.00
Sites, in units of the cell vectors:
Gd 0.000 0.000 0.000
Tl 0.000 0.000 0.500
Sb 0.500 0.500 0.222
Sb 0.500 0.500 0.778

Space group ... P4/mmm, No. 123
Total DFT energy (no corrections) ... -6.69 eV per atom
ΔE_f (raw) ... -515 meV per atom
Magnetization ... 7.20 μB per formula unit

***

[2]
The following is a DFT calculation (PBE-GGA) of a geometry-optimized GdTmSb2 structure.

abc: 7.581 7.581 7.581
angles: 33.58 33.58 33.58
Sites, in units of the cell vectors:
Gd 0.000 0.000 0.000
Tm 0.500 0.500 0.500
Sb 0.248 0.248 0.248
Sb 0.752 0.752 0.752

Space group ... R-3m, No. 166
Total DFT energy (no corrections) ... -7.82 eV per atom
ΔE_f (raw) ... -1119 meV per atom
Magnetization ... 7.06 μB per formula unit

***

[3]
The following is a DFT calculation (PBE-GGA) of a geometry-optimized GdTmSb structure.

abc: 6.050 6.050 6.050
angles: 141.82 141.82 55.10
Sites, in units of the cell vectors:
Gd 0.000 0.000 0.000
Tm 0.307 0.307 0.000
Sb 0.661 0.661 0.000

Space group ... I4mm, No. 107
Total DFT energy (no corrections) ... -8.21 eV per atom
ΔE_f (raw) ... -650 meV per atom
Magnetization ... 8.06 μB per formula unit

***

[4]
The following is a DFT calculation (PBE-GGA) of a geometry-optimized Gd2TmSb structure.

abc: 4.083 4.083 6.966
angles: 90.00 90.00 90.00
Sites, in units of the cell vectors:
Gd 0.000 0.000 0.229
Gd 0.000 0.000 0.771
Tm 0.500 0.500 0.500
Sb 0.500 0.500 0.000

Space group ... P4/mmm, No. 123
Total DFT energy (no corrections) ... -9.70 eV per atom
ΔE_f (raw) ... -516 meV per atom
Magnetization ... 15.40 μB per formula unit

***

[5]
The following is a DFT calculation (PBE-GGA) of a geometry-optimized Gd2TmSb structure.

abc: 4.788 4.788 4.835
angles: 90.00 90.00 90.00
Sites, in units of the cell vectors:
Gd 0.000 0.500 0.000
Gd 0.500 0.000 0.000
Tm 0.000 0.000 0.500
Sb 0.500 0.500 0.500

Space group ... P4/mmm, No. 123
Total DFT energy (no corrections) ... -9.69 eV per atom
ΔE_f (raw) ... -502 meV per atom
Magnetization ... 15.19 μB per formula unit

***

[6]
The following is a DFT calculation (PBE-GGA) of a geometry-optimized GdTmSb structure.

abc: 5.045 5.045 3.989
angles: 90.00 90.00 120.00
Sites, in units of the cell vectors:
Gd 0.000 0.000 0.000
Tm 0.333 0.667 0.472
Sb 0.667 0.333 0.659

Space group ... P3m1, No. 156
Total DFT energy (no corrections) ... -8.00 eV per atom
ΔE_f (raw) ... -441 meV per atom
Magnetization ... 7.25 μB per formula unit